[1]
# NaCaSn2Se4 | Alexandria via LeMat-Bulk | GGA-PBE | relaxed
# * space-group type: P2/m (10)
data_NaCaSn2Se4
_chemical_formula_sum 'Na1 Ca1 Sn2 Se4'
_cell_length_a 4.159
_cell_length_b 7.422
_cell_length_c 7.330
_cell_angle_alpha 71.31
_cell_angle_beta 90.00
_cell_angle_gamma 90.00
_space_group_name_H-M_alt 'P 1'
_space_group_IT_number 1
loop_
_space_group_symop_operation_xyz
'x,y,z'
loop_
_atom_site_label
_atom_site_fract_x
_atom_site_fract_y
_atom_site_fract_z
Sn1 0.000 0.000 0.000
Sn2 0.500 0.000 0.500
Se1 0.500 0.751 0.261
Se2 0.000 0.760 0.735
Se3 0.500 0.249 0.739
Se4 0.000 0.240 0.265
Ca1 0.000 0.500 0.500
Na1 0.500 0.500 0.000

***

[2]
# NaSrCa2Se | Alexandria via LeMat-Bulk | GGA-PBE | relaxed
# * space-group type: P4/mmm (123)
data_NaSrCa2Se
_chemical_formula_sum 'Na1 Sr1 Ca2 Se1'
_cell_length_a 5.747
_cell_length_b 5.747
_cell_length_c 6.172
_cell_angle_alpha 90.00
_cell_angle_beta 90.00
_cell_angle_gamma 90.00
_space_group_name_H-M_alt 'P 1'
_space_group_IT_number 1
loop_
_space_group_symop_operation_xyz
'x,y,z'
loop_
_atom_site_label
_atom_site_fract_x
_atom_site_fract_y
_atom_site_fract_z
Se1 0.000 0.000 0.000
Sr1 0.000 0.000 0.500
Na1 0.500 0.500 0.500
Ca1 0.000 0.500 0.000
Ca2 0.500 0.000 0.000

***

[3]
# Na2CaTaSe | Alexandria via LeMat-Bulk | GGA-PBE | relaxed
# * space-group type: P4/mmm (123)
data_Na2CaTaSe
_chemical_formula_sum 'Na2 Ca1 Ta1 Se1'
_cell_length_a 5.449
_cell_length_b 4.993
_cell_length_c 5.449
_cell_angle_alpha 90.00
_cell_angle_beta 90.00
_cell_angle_gamma 90.00
_space_group_name_H-M_alt 'P 1'
_space_group_IT_number 1
loop_
_space_group_symop_operation_xyz
'x,y,z'
loop_
_atom_site_label
_atom_site_fract_x
_atom_site_fract_y
_atom_site_fract_z
Se1 0.000 0.000 0.000
Na1 0.500 0.000 0.000
Na2 0.000 0.000 0.500
Ta1 0.000 0.500 0.000
Ca1 0.500 0.500 0.500

***

Number 1: uncorrected formation energy -89.1 kJ/mol of atoms, M_tot 0.0 μB/f.u., DFT total energy -4.081 eV per atom. Number 2: uncorrected formation energy -60.7 kJ/mol of atoms, M_tot 0.0 μB/f.u., DFT total energy -2.726 eV per atom. Number 3: uncorrected formation energy 29.7 kJ/mol of atoms, M_tot 2.6 μB/f.u., DFT total energy -3.687 eV per atom.